! TmSc2Co2 PBE-GGA optimized geometry; values from VASP
! ΔH_f (0 K)	-1.010	eV per formula unit
! magnetization	0.000	μB per cell
! V	19.0	Å³/atom
! raw total energy	-6.47	eV/atom
&SYSTEM
  ibrav = 0, nat = 5, ntyp = 3
/
ATOMIC_SPECIES
Tm 168.93 Tm.upf
Sc 44.96 Sc.upf
Co 58.93 Co.upf
CELL_PARAMETERS angstrom
2.928 -2.928 0.000
2.928 2.928 0.000
-2.909 0.000 5.530
ATOMIC_POSITIONS crystal
Tm 0.000 0.000 0.000
Sc 0.250 0.750 0.500
Sc 0.750 0.250 0.500
Co 0.398 0.398 0.799
Co 0.602 0.602 0.201


! CaNi2Ir2 PBE-GGA optimized geometry; values from VASP
! ΔH_f (0 K)	-0.015	eV per formula unit
! magnetization	0.004	μB per cell
! V	17.1	Å³/atom
! offset from the most stable computed form	11	meV per atom
! raw total energy	-6.26	eV/atom
&SYSTEM
  ibrav = 0, nat = 5, ntyp = 3
/
ATOMIC_SPECIES
Ca 40.08 Ca.upf
Ni 58.69 Ni.upf
Ir 192.22 Ir.upf
CELL_PARAMETERS angstrom
-2.079 2.079 4.944
2.079 -2.079 4.944
2.079 2.079 -4.944
ATOMIC_POSITIONS crystal
Ca 0.000 0.000 0.000
Ni 0.250 0.750 0.500
Ni 0.750 0.250 0.500
Ir 0.380 0.380 0.000
Ir 0.620 0.620 0.000


! CoNi4H5 PBE-GGA optimized geometry; values from VASP
! magnetization	1.104	μB per cell
! V	6.4	Å³/atom
! raw total energy	-4.72	eV/atom
&SYSTEM
  ibrav = 0, nat = 10, ntyp = 3
/
ATOMIC_SPECIES
Co 58.93 Co.upf
Ni 58.69 Ni.upf
H 1.01 H.upf
CELL_PARAMETERS angstrom
-2.941 2.941 1.854
2.941 -2.941 1.854
2.941 2.941 -1.854
ATOMIC_POSITIONS crystal
Co 0.000 0.000 0.000
Ni 0.200 0.600 0.801
Ni 0.400 0.200 0.600
Ni 0.600 0.800 0.400
Ni 0.800 0.400 0.199
H 0.093 0.291 0.384
H 0.291 0.907 0.197
H 0.500 0.500 0.000
H 0.709 0.093 0.803
H 0.907 0.709 0.616


! Pr2DyPaRu2 PBE-GGA optimized geometry; values from VASP
! ΔH_f (0 K)	-1.791	eV per formula unit
! magnetization	0.000	μB per cell
! V	27.0	Å³/atom
! raw total energy	-7.33	eV/atom
&SYSTEM
  ibrav = 0, nat = 12, ntyp = 4
/
ATOMIC_SPECIES
Pr 140.91 Pr.upf
Dy 162.50 Dy.upf
Pa 231.04 Pa.upf
Ru 101.07 Ru.upf
CELL_PARAMETERS angstrom
-3.465 6.812 3.429
3.465 -6.812 3.429
3.465 6.812 -3.429
ATOMIC_POSITIONS crystal
Pr 0.194 0.228 0.422
Pr 0.306 0.728 0.035
Pr 0.694 0.272 0.965
Pr 0.806 0.772 0.578
Dy 0.250 0.750 0.500
Dy 0.750 0.250 0.500
Pa 0.250 0.250 0.000
Pa 0.750 0.750 0.000
Ru 0.095 0.789 0.883
Ru 0.405 0.289 0.694
Ru 0.595 0.711 0.306
Ru 0.905 0.211 0.117


! LiGa3Cu4 PBE-GGA optimized geometry; values from VASP
! ΔH_f (0 K)	0.255	eV per formula unit
! magnetization	0.000	μB per cell
! V	15.6	Å³/atom
! offset from the most stable computed form	39	meV per atom
! raw total energy	-3.39	eV/atom
&SYSTEM
  ibrav = 0, nat = 8, ntyp = 3
/
ATOMIC_SPECIES
Li 6.94 Li.upf
Ga 69.72 Ga.upf
Cu 63.55 Cu.upf
CELL_PARAMETERS angstrom
-2.583 5.504 2.189
2.583 -5.504 2.189
2.583 5.504 -2.189
ATOMIC_POSITIONS crystal
Li 0.000 0.000 0.000
Ga 0.310 0.504 0.806
Ga 0.698 0.504 0.194
Ga 0.999 0.499 0.500
Cu 0.305 0.004 0.301
Cu 0.499 0.245 0.746
Cu 0.499 0.754 0.254
Cu 0.703 0.004 0.699


! Tm4Pb2N PBE-GGA optimized geometry; values from VASP
! magnetization	0.000	μB per cell
! ΔE_f (raw)	-5.9	eV/f.u.
! V	24.7	Å³/atom
! offset from the most stable computed form	0	meV per atom
! raw total energy	-5.65	eV/atom
&SYSTEM
  ibrav = 0, nat = 7, ntyp = 3
/
ATOMIC_SPECIES
Tm 168.93 Tm.upf
Pb 207.20 Pb.upf
N 14.01 N.upf
CELL_PARAMETERS angstrom
-2.339 2.339 7.914
2.339 -2.339 7.914
2.339 2.339 -7.914
ATOMIC_POSITIONS crystal
Tm 0.000 0.500 0.500
Tm 0.155 0.155 0.000
Tm 0.500 0.000 0.500
Tm 0.845 0.845 0.000
Pb 0.355 0.355 0.000
Pb 0.645 0.645 0.000
N 0.000 0.000 0.000


! HfCdAu4 PBE-GGA optimized geometry; values from VASP
! ΔH_f (0 K)	-0.626	eV per formula unit
! magnetization	0.000	μB per cell
! V	22.6	Å³/atom
! offset from the most stable computed form	266	meV per atom
! raw total energy	-4.10	eV/atom
&SYSTEM
  ibrav = 0, nat = 6, ntyp = 3
/
ATOMIC_SPECIES
Hf 178.49 Hf.upf
Cd 112.41 Cd.upf
Au 196.97 Au.upf
CELL_PARAMETERS angstrom
4.481 0.000 0.000
0.000 4.481 0.000
0.000 0.000 6.767
ATOMIC_POSITIONS crystal
Hf 0.000 0.000 0.000
Cd 0.500 0.500 0.500
Au 0.000 0.500 0.244
Au 0.000 0.500 0.756
Au 0.500 0.000 0.244
Au 0.500 0.000 0.756


! CeMgZnCo PBE-GGA optimized geometry; values from VASP
! ΔH_f (0 K)	-0.283	eV per formula unit
! magnetization	0.006	μB per cell
! V	18.6	Å³/atom
! raw total energy	-4.05	eV/atom
&SYSTEM
  ibrav = 0, nat = 4, ntyp = 4
/
ATOMIC_SPECIES
Ce 140.12 Ce.upf
Mg 24.30 Mg.upf
Zn 65.41 Zn.upf
Co 58.93 Co.upf
CELL_PARAMETERS angstrom
0.000 3.339 3.339
3.339 0.000 3.339
3.339 3.339 0.000
ATOMIC_POSITIONS crystal
Ce 0.000 0.000 0.000
Mg 0.500 0.500 0.500
Zn 0.750 0.750 0.750
Co 0.250 0.250 0.250